# 1
# Ta5Mo PBEsol optimized geometry
data_Ta5Mo
_cell_length_a 4.6043
_cell_length_b 13.8300
_cell_length_c 3.2388
_cell_angle_alpha 90.00
_cell_angle_beta 90.00
_cell_angle_gamma 90.00
_space_group_name_H-M_alt 'C m m m'
_space_group_IT_number 65
_space_group_name_Hall '-C 2 2'
loop_
_atom_site_label
_atom_site_type_symbol
_atom_site_fract_x
_atom_site_fract_y
_atom_site_fract_z
Ta1 Ta 0.0000 0.0000 0.0000
Ta2 Ta 0.0000 0.1701 0.5000
Ta3 Ta 0.0000 0.3394 0.0000
Mo1 Mo 0.0000 0.5000 0.5000
# Formation energy ... -0.058 eV/atom

---

# 2
# ZnNiIr PBEsol optimized geometry
data_ZnNiIr
_cell_length_a 4.1130
_cell_length_b 4.1130
_cell_length_c 2.5808
_cell_angle_alpha 90.00
_cell_angle_beta 90.00
_cell_angle_gamma 120.00
_space_group_name_H-M_alt 'P -6 m 2'
_space_group_IT_number 187
_space_group_name_Hall 'P -6 2'
loop_
_atom_site_label
_atom_site_type_symbol
_atom_site_fract_x
_atom_site_fract_y
_atom_site_fract_z
Zn1 Zn 0.0000 0.0000 0.0000
Ni1 Ni 0.6667 0.3333 0.0000
Ir1 Ir 0.3333 0.6667 0.5000
# Formation energy ... 0.025 eV/atom

---

# 3
# BeCd2H PBEsol optimized geometry
data_BeCd2H
_cell_length_a 6.0268
_cell_length_b 6.0268
_cell_length_c 6.0268
_cell_angle_alpha 90.00
_cell_angle_beta 90.00
_cell_angle_gamma 90.00
_space_group_name_H-M_alt 'F m -3 m'
_space_group_IT_number 225
_space_group_name_Hall '-F 4 2 3'
loop_
_atom_site_label
_atom_site_type_symbol
_atom_site_fract_x
_atom_site_fract_y
_atom_site_fract_z
Be1 Be 0.0000 0.0000 0.0000
Cd1 Cd 0.2500 0.2500 0.2500
H1 H 0.0000 0.0000 0.5000
# Uncorrected energy ... -1.78 eV per atom

---

# 4
# ZrPb PBEsol optimized geometry
data_ZrPb
_cell_length_a 4.2987
_cell_length_b 4.2987
_cell_length_c 9.9481
_cell_angle_alpha 90.00
_cell_angle_beta 90.00
_cell_angle_gamma 90.00
_space_group_name_H-M_alt 'I 41/a m d'
_space_group_IT_number 141
loop_
_space_group_symop_operation_xyz
'x,y,z'
'-x,-y,-z'
'-y+1/4,x+3/4,z+1/4'
'y+1/4,-x+3/4,-z+1/4'
'-x+1/2,-y,z+1/2'
'x+1/2,y,-z+1/2'
'y+1/4,-x+1/4,z+3/4'
'-y+1/4,x+1/4,-z+3/4'
'x,-y,-z'
'-x,y,z'
'-y+1/4,-x+1/4,-z+3/4'
'y+1/4,x+1/4,z+3/4'
'-x+1/2,y,-z+1/2'
'x+1/2,-y,z+1/2'
'y+1/4,x+3/4,-z+1/4'
'-y+1/4,-x+3/4,z+1/4'
'x+1/2,y+1/2,z+1/2'
'-x+1/2,-y+1/2,-z+1/2'
'-y+3/4,x+1/4,z+3/4'
'y+3/4,-x+1/4,-z+3/4'
'-x,-y+1/2,z'
'x,y+1/2,-z'
'y+3/4,-x+3/4,z+1/4'
'-y+3/4,x+3/4,-z+1/4'
'x+1/2,-y+1/2,-z+1/2'
'-x+1/2,y+1/2,z+1/2'
'-y+3/4,-x+3/4,-z+1/4'
'y+3/4,x+3/4,z+1/4'
'-x,y+1/2,-z'
'x,-y+1/2,z'
'y+3/4,x+1/4,-z+3/4'
'-y+3/4,-x+1/4,z+3/4'
loop_
_atom_site_label
_atom_site_type_symbol
_atom_site_fract_x
_atom_site_fract_y
_atom_site_fract_z
Zr1 Zr 0.0000 0.2500 0.3750
Pb1 Pb 0.0000 0.2500 0.8750
# Formation energy ... -0.184 eV/atom